TlAgOs | PBE | optimized geometry

Results
total DFT energy (no corrections): -4.5517 eV/atom
space group: I4mm
distance to the lowest polymorph of the same formula: 7.3 kJ per mole of atoms
calculated formation energy: 0.93 eV per atom
calculated volume: 19.07 A^3/atom

POSCAR file:
```
TlAgOs
1.0
7.174 0.001 0.000
6.014 3.911 0.000
-6.594 -1.956 2.039
Tl Os Ag
1 1 1
Direct
0.675 0.675 0.000
0.338 0.338 0.000
0.987 0.987 0.000
```

TlAg4Os | PBE | optimized geometry

Results
total DFT energy (no corrections): -3.3721 eV/atom
space group: F-43m
calculated formation energy: 0.79 eV per atom
calculated volume: 18.90 A^3/atom

POSCAR file:
```
TlAg4Os
1.0
0.000 3.842 3.842
3.842 0.000 3.842
3.842 3.842 0.000
Tl Ag Os
1 4 1
Direct
0.000 0.000 0.000
0.873 0.376 0.376
0.376 0.376 0.873
0.376 0.873 0.376
0.376 0.376 0.376
0.750 0.750 0.750
```

Total moment: 0.17, 0.06 (μB/atom)